A plane-wave DFT calculation with PBE was carried out for MnCu2Br after structural relaxation.

The energy above the lowest structure with this stoichiometry is 0.2833 eV per atom. The value obtained for the formation energy without anion corrections is 0.457 eV per atom. For the total energy, the calculation gives -17.2 eV/f.u.

The structure belongs to space group Cmmm (No. 65); the cell edges are 5.090, 7.812 and 3.253 Å and the angles 90.00°, 90.00° and 90.00°. The asymmetric unit holds Mn at (0.000, 0.000, 0.000), Cu at (0.250, 0.250, 0.500) and Br at (0.000, 0.500, 0.000).

A plane-wave DFT calculation with PBE was carried out for MnCuBr2 after structural relaxation.

The energy above the lowest structure with this stoichiometry is 0.2970 eV per atom. The value obtained for the formation energy without anion corrections is 0.150 eV per atom. For the total energy, the calculation gives -16.0 eV/f.u.

The structure belongs to space group I-4m2 (No. 119); the cell edges are 3.731, 3.731 and 13.047 Å and the angles 90.00°, 90.00° and 90.00°. The asymmetric unit holds Mn at (0.000, 0.000, 0.000), Cu at (0.000, 0.500, 0.250), Br at (0.000, 0.000, 0.500) and Br at (0.000, 0.500, 0.750).

A plane-wave DFT calculation with PBE was carried out for Mn2CuBr8 after structural relaxation.

The value obtained for the formation energy without anion corrections is -0.460 eV per atom. For the total energy, the calculation gives -40.9 eV/f.u.

The structure belongs to space group C2/m (No. 12); the cell edges are 11.928, 9.892 and 6.530 Å and the angles 90.00°, 98.61° and 90.00°. The asymmetric unit holds Mn at (0.201, 0.000, 0.177), Cu at (0.000, 0.000, 0.500), Br at (0.097, 0.180, 0.313), Br at (0.105, 0.500, 0.720) and Br at (0.196, 0.000, 0.815).

Number 1: calculated volume 129 Å³ per cell. Number 2: calculated volume 182 Å³ per cell. Number 3: calculated volume 762 Å³ per cell.